# Ta7Mn6 GGA-PBE relaxed
data_Ta7Mn6
_chemical_formula_sum 'Ta21 Mn18'
_cell_length_a 5.4282
_cell_length_b 5.4282
_cell_length_c 26.1826
_cell_angle_alpha 90.00
_cell_angle_beta 90.00
_cell_angle_gamma 120.00
_symmetry_space_group_name_H-M 'R -3 m'
_symmetry_Int_Tables_number 166
_symmetry_space_group_name_Hall '-R 3 2"'
loop_
_atom_site_label
_atom_site_type_symbol
_atom_site_fract_x
_atom_site_fract_y
_atom_site_fract_z
Ta1 Ta 0.0000 0.0000 0.0000
Ta2 Ta 0.0033 0.5016 0.4174
Mn1 Mn 0.0000 0.0000 0.1680
Mn2 Mn 0.0000 0.0000 0.3505
Mn3 Mn 0.0000 0.0000 0.4542
# Total moment, Bohr magnetons per cell: 41.735
# DFT formation energy, kJ per mole of atoms: 51.5
# Crystal system: trigonal